[1]
! CuTeRu3 | the Alexandria database | PBE-GGA | relaxed; values from VASP
! Symmetry   Pm-3m (221)
! Total energy   -0.2056 Ha/atom
! Crystal system   cubic
&SYSTEM
  ibrav = 0, nat = 5, ntyp = 3
/
ATOMIC_SPECIES
Ru 101.07 Ru.upf
Te 127.60 Te.upf
Cu 63.55 Cu.upf
ATOMIC_POSITIONS crystal
Ru 0.000 0.500 0.000
Ru 0.000 0.000 0.500
Ru 0.500 0.000 0.000
Te 0.500 0.500 0.500
Cu 0.000 0.000 0.000
CELL_PARAMETERS angstrom
4.493 0.000 0.000
0.000 4.493 0.000
0.000 0.000 4.493

***

[2]
! Rb3Zr3ScTe8 | the Alexandria database | PBE-GGA | relaxed; values from VASP
! Symmetry   R-3m (166)
! Total energy   -0.1850 Ha/atom
! Crystal system   trigonal
&SYSTEM
  ibrav = 0, nat = 15, ntyp = 4
/
ATOMIC_SPECIES
Rb 85.47 Rb.upf
Zr 91.22 Zr.upf
Sc 44.96 Sc.upf
Te 127.60 Te.upf
ATOMIC_POSITIONS crystal
Rb 0.000 0.000 0.000
Rb 0.000 0.500 0.000
Rb 0.500 0.500 0.000
Zr 0.500 0.000 0.500
Zr 0.500 0.500 0.500
Zr 0.000 0.500 0.500
Sc 0.000 0.000 0.500
Te 0.268 0.536 0.304
Te 0.732 0.464 0.696
Te 0.767 0.535 0.306
Te 0.233 0.465 0.694
Te 0.768 0.038 0.306
Te 0.232 0.962 0.694
Te 0.271 0.038 0.306
Te 0.729 0.962 0.694
CELL_PARAMETERS angstrom
8.308 0.000 0.000
-4.154 7.193 -0.031
0.000 -4.759 8.891

***

[3]
! Pr2Dy7Mg | the Alexandria database | PBE-GGA | relaxed; values from VASP
! Symmetry   Cmmm (65)
! Total energy   -0.1529 Ha/atom
! Crystal system   orthorhombic
&SYSTEM
  ibrav = 0, nat = 10, ntyp = 3
/
ATOMIC_SPECIES
Pr 140.91 Pr.upf
Dy 162.50 Dy.upf
Mg 24.30 Mg.upf
ATOMIC_POSITIONS crystal
Pr 0.500 0.706 0.294
Pr 0.500 0.294 0.706
Dy 0.000 0.816 0.184
Dy 0.000 0.184 0.816
Dy 0.500 0.149 0.341
Dy 0.500 0.851 0.659
Dy 0.500 0.341 0.149
Dy 0.500 0.659 0.851
Dy 0.500 0.500 0.500
Mg 0.000 0.000 0.000
CELL_PARAMETERS angstrom
3.429 0.000 0.000
0.000 14.045 -4.818
0.000 -10.636 10.361

***

[4]
! ZnPbI2N | the Alexandria database | PBE-GGA | relaxed; values from VASP
! Symmetry   P4/mmm (123)
! Total energy   -0.1066 Ha/atom
! Crystal system   tetragonal
&SYSTEM
  ibrav = 0, nat = 5, ntyp = 4
/
ATOMIC_SPECIES
Pb 207.20 Pb.upf
I 126.90 I.upf
Zn 65.41 Zn.upf
N 14.01 N.upf
ATOMIC_POSITIONS crystal
Pb 0.500 0.500 0.500
I 0.000 0.500 0.000
I 0.500 0.000 0.000
Zn 0.000 0.000 0.000
N 0.000 0.000 0.500
CELL_PARAMETERS angstrom
5.932 0.000 0.000
0.000 5.932 0.000
0.000 0.000 3.905

***

total energy of number 4 (ZnPbI2N)?
-0.1066 Ha/atom

***

Which of these has the highest total energy?
ZnPbI2N

***

The lowest total energy belongs to which entry?
CuTeRu3

***

Repeat the fourth record exactly.
! ZnPbI2N | the Alexandria database | PBE-GGA | relaxed; values from VASP
! Symmetry   P4/mmm (123)
! Total energy   -0.1066 Ha/atom
! Crystal system   tetragonal
&SYSTEM
  ibrav = 0, nat = 5, ntyp = 4
/
ATOMIC_SPECIES
Pb 207.20 Pb.upf
I 126.90 I.upf
Zn 65.41 Zn.upf
N 14.01 N.upf
ATOMIC_POSITIONS crystal
Pb 0.500 0.500 0.500
I 0.000 0.500 0.000
I 0.500 0.000 0.000
Zn 0.000 0.000 0.000
N 0.000 0.000 0.500
CELL_PARAMETERS angstrom
5.932 0.000 0.000
0.000 5.932 0.000
0.000 0.000 3.905